1.
A plane-wave DFT calculation with GGA-PBE was carried out for an optimized crystal structure of Ba2BiP2N6.

Cell lengths 5.854, 5.854, 7.091 Å; angles 65.62, 65.62, 60.00 degrees
Fractional positions:
N: 0.268 0.739 0.254
Bi: 0.000 0.000 0.000
N: 0.261 0.261 0.746
N: 0.739 0.268 0.254
P: 0.586 0.586 0.242
Ba: 0.212 0.212 0.365
N: 0.732 0.261 0.746
P: 0.414 0.414 0.758
Ba: 0.788 0.788 0.635
N: 0.261 0.732 0.746
N: 0.739 0.739 0.254

Computed properties:
- Uncorrected formation energy: -367 kJ/mol of formula units
- Fermi-level density of states: 3.7 states/eV/cell
- Space-group type: R-3m (166)

2.
A plane-wave DFT calculation with GGA-PBE was carried out for an optimized crystal structure of Rb2BaBiN.

Cell lengths 5.707, 5.339, 5.707 Å; angles 90.00, 90.00, 90.00 degrees
Fractional positions:
Bi: 0.000 0.500 0.000
Rb: 0.000 0.000 0.500
Rb: 0.500 0.000 0.000
N: 0.000 0.000 0.000
Ba: 0.500 0.500 0.500

Computed properties:
- Uncorrected formation energy: 192 kJ/mol of formula units
- Fermi-level density of states: 3.5 states/eV/cell
- Space-group type: P4/mmm (123)

3.
A plane-wave DFT calculation with GGA-PBE was carried out for an optimized crystal structure of Ba2BiRhN.

Cell lengths 6.178, 6.178, 3.788 Å; angles 90.00, 90.00, 90.00 degrees
Fractional positions:
Ba: 0.000 0.500 0.000
Bi: 0.500 0.500 0.500
N: 0.000 0.000 0.000
Ba: 0.500 0.000 0.000
Rh: 0.000 0.000 0.500

Computed properties:
- Uncorrected formation energy: -271 kJ/mol of formula units
- Fermi-level density of states: 3.2 states/eV/cell
- Space-group type: P4/mmm (123)

Q: uncorrected formation energy of number 1 (Ba2BiP2N6)?
A: -367 kJ/mol of formula units

Q: Which of these has the lowest uncorrected formation energy?
A: Ba2BiP2N6

Q: Look up the Fermi-level density of states of the third one.
A: 3.2 states/eV/cell